Material: PtO2F6
Method: DFT, GGA-PBEsol
State: relaxed

Output
Total energy in eV per atom: -4.114
Magnetization in μB per atom: 0.003

a b c (Å): 8.870 8.870 8.870
angles (deg): 109.47 109.47 109.47
Element x y z (fractional)
Pt 0.000 0.000 0.500
Pt 0.000 0.500 0.000
Pt 0.500 0.000 0.000
Pt 0.500 0.500 0.500
O 0.000 0.433 0.500
O 0.000 0.567 0.500
O 0.067 0.067 0.067
O 0.433 0.500 0.000
O 0.500 0.000 0.433
O 0.500 0.000 0.567
O 0.567 0.500 0.000
O 0.933 0.933 0.933
F 0.040 0.297 0.949
F 0.051 0.960 0.703
F 0.090 0.551 0.848
F 0.152 0.910 0.449
F 0.203 0.243 0.652
F 0.243 0.652 0.203
F 0.257 0.460 0.410
F 0.297 0.949 0.040
F 0.348 0.797 0.757
F 0.410 0.257 0.460
F 0.449 0.152 0.910
F 0.460 0.410 0.257
F 0.540 0.590 0.743
F 0.551 0.848 0.090
F 0.590 0.743 0.540
F 0.652 0.203 0.243
F 0.703 0.051 0.960
F 0.743 0.540 0.590
F 0.757 0.348 0.797
F 0.797 0.757 0.348
F 0.848 0.090 0.551
F 0.910 0.449 0.152
F 0.949 0.040 0.297
F 0.960 0.703 0.051